No. 1
Entry from Alexandria via LeMat-Bulk: an optimized crystal structure of HoPtAu (PBE-GGA).

Output
Distance to the lowest polymorph of the same formula, meV/atom: 294
M_tot, μB/cell: 0.00
N(E_F), states/eV/f.u.: 1.30
Crystal system: orthorhombic

a b c (Å): 8.559 7.999 6.449
angles (deg): 71.74 62.57 45.69
Positions (direct):
Ho: 0.063 0.063 0.687
Ho: 0.313 0.313 0.937
Ho: 0.687 0.687 0.063
Ho: 0.937 0.937 0.313
Pt: 0.039 0.711 0.711
Pt: 0.289 0.961 0.961
Pt: 0.711 0.039 0.039
Pt: 0.961 0.289 0.289
Au: 0.000 0.500 0.500
Au: 0.500 0.000 0.500
Au: 0.500 0.500 0.000
Au: 0.500 0.500 0.500

***

No. 2
Entry from Alexandria via LeMat-Bulk: an optimized crystal structure of Ho7Pt2Au2 (PBE-GGA).

Output
Distance to the lowest polymorph of the same formula, meV/atom: 0
M_tot, μB/cell: 0.00
N(E_F), states/eV/f.u.: 13.78
Crystal system: orthorhombic

a b c (Å): 9.373 9.373 9.373
angles (deg): 156.61 66.21 119.05
Positions (direct):
Ho: 0.000 0.000 0.000
Ho: 0.080 0.391 0.689
Ho: 0.115 0.749 0.366
Ho: 0.383 0.749 0.634
Ho: 0.477 0.594 0.883
Ho: 0.702 0.391 0.311
Ho: 0.711 0.594 0.117
Pt: 0.338 0.095 0.243
Pt: 0.852 0.095 0.757
Au: 0.341 0.341 0.000
Au: 0.759 0.259 0.500

***

No. 3
Entry from Alexandria via LeMat-Bulk: an optimized crystal structure of Ho2PtAu (PBE-GGA).

Output
M_tot, μB/cell: 0.00
Energy, eV/atom: -5.73
N(E_F), states/eV/f.u.: 1.95
Crystal system: monoclinic

a b c (Å): 5.669 4.579 7.488
angles (deg): 90.00 109.81 90.00
Positions (direct):
Ho: 0.216 0.250 0.434
Ho: 0.232 0.250 0.926
Ho: 0.768 0.750 0.074
Ho: 0.784 0.750 0.566
Pt: 0.326 0.750 0.706
Pt: 0.674 0.250 0.294
Au: 0.318 0.750 0.207
Au: 0.682 0.250 0.793

***

No. 4
Entry from Alexandria via LeMat-Bulk: an optimized crystal structure of HoPuPtAu (PBE-GGA).

Output
Distance to the lowest polymorph of the same formula, meV/atom: 48
M_tot, μB/cell: 5.57
N(E_F), states/eV/f.u.: 12.95
Crystal system: cubic

a b c (Å): 5.028 5.028 5.028
angles (deg): 60.00 60.00 60.00
Positions (direct):
Ho: 0.000 0.000 0.000
Pu: 0.500 0.500 0.500
Pt: 0.750 0.750 0.750
Au: 0.250 0.250 0.250

***

No. 5
Entry from Alexandria via LeMat-Bulk: an optimized crystal structure of HoPuPtAu (PBE-GGA).

Output
Distance to the lowest polymorph of the same formula, meV/atom: 0
M_tot, μB/cell: 5.82
N(E_F), states/eV/f.u.: 10.73
Crystal system: tetragonal

a b c (Å): 3.500 3.500 7.327
angles (deg): 90.00 90.00 90.00
Positions (direct):
Ho: 0.000 0.000 0.000
Pu: 0.000 0.000 0.526
Pt: 0.500 0.500 0.779
Au: 0.500 0.500 0.244

***

No. 6
Entry from Alexandria via LeMat-Bulk: an optimized crystal structure of HoSbPtAu (PBE-GGA).

Output
E_form (uncorrected), eV/atom: -0.7139
M_tot, μB/cell: 0.00
N(E_F), states/eV/f.u.: 2.54
Crystal system: cubic

a b c (Å): 4.914 4.914 4.914
angles (deg): 60.00 60.00 60.00
Positions (direct):
Ho: 0.000 0.000 0.000
Sb: 0.500 0.500 0.500
Pt: 0.250 0.250 0.250
Au: 0.750 0.750 0.750

***

No. 7
Entry from Alexandria via LeMat-Bulk: an optimized crystal structure of HoScPtAu (PBE-GGA).

Output
Distance to the lowest polymorph of the same formula, meV/atom: 24
M_tot, μB/cell: 0.00
N(E_F), states/eV/f.u.: 2.72
Crystal system: cubic

a b c (Å): 4.874 4.874 4.874
angles (deg): 60.00 60.00 60.00
Positions (direct):
Ho: 0.000 0.000 0.000
Sc: 0.500 0.500 0.500
Pt: 0.250 0.250 0.250
Au: 0.750 0.750 0.750

***

No. 8
Entry from Alexandria via LeMat-Bulk: an optimized crystal structure of HoScPtAu (PBE-GGA).

Output
Distance to the lowest polymorph of the same formula, meV/atom: 0
M_tot, μB/cell: 0.00
N(E_F), states/eV/f.u.: 2.59
Crystal system: tetragonal

a b c (Å): 3.423 3.423 6.967
angles (deg): 90.00 90.00 90.00
Positions (direct):
Ho: 0.000 0.000 0.000
Sc: 0.000 0.000 0.517
Pt: 0.500 0.500 0.739
Au: 0.500 0.500 0.280

***

No. 9
Entry from Alexandria via LeMat-Bulk: an optimized crystal structure of Ho4PtAuSe2 (PBE-GGA).

Output
E_form (uncorrected), eV/atom: -1.3692
M_tot, μB/cell: 0.00
N(E_F), states/eV/f.u.: 4.97
Crystal system: monoclinic

a b c (Å): 6.925 3.979 7.520
angles (deg): 90.00 107.72 90.00
Positions (direct):
Ho: 0.239 0.000 0.237
Ho: 0.245 0.500 0.757
Ho: 0.755 0.500 0.243
Ho: 0.761 0.000 0.763
Pt: 0.000 0.500 0.000
Au: 0.500 0.000 0.000
Se: 0.000 0.000 0.500
Se: 0.500 0.500 0.500

***

No. 10
Entry from Alexandria via LeMat-Bulk: an optimized crystal structure of TbHoPtAu (PBE-GGA).

Output
Distance to the lowest polymorph of the same formula, meV/atom: 0
M_tot, μB/cell: 0.00
N(E_F), states/eV/f.u.: 2.11
Crystal system: orthorhombic

a b c (Å): 4.596 5.665 5.665
angles (deg): 38.86 90.00 90.00
Positions (direct):
Tb: 0.000 0.000 0.000
Ho: 0.500 0.276 0.276
Pt: 0.000 0.729 0.729
Au: 0.500 0.552 0.552

***

No. 11
Entry from Alexandria via LeMat-Bulk: an optimized crystal structure of TbHoPtAu (PBE-GGA).

Output
Distance to the lowest polymorph of the same formula, meV/atom: 51
M_tot, μB/cell: 0.00
N(E_F), states/eV/f.u.: 2.49
Crystal system: cubic

a b c (Å): 5.013 5.013 5.013
angles (deg): 60.00 60.00 60.00
Positions (direct):
Tb: 0.000 0.000 0.000
Ho: 0.500 0.500 0.500
Pt: 0.750 0.750 0.750
Au: 0.250 0.250 0.250

***

No. 12
Entry from Alexandria via LeMat-Bulk: an optimized crystal structure of Ho8Te4Pt3Au (PBE-GGA).

Output
E_form (uncorrected), eV/atom: -1.2156
M_tot, μB/cell: 0.00
N(E_F), states/eV/f.u.: 10.56
Crystal system: trigonal

a b c (Å): 8.745 8.745 8.745
angles (deg): 56.36 56.36 56.36
Positions (direct):
Ho: 0.230 0.743 0.743
Ho: 0.237 0.237 0.237
Ho: 0.257 0.257 0.770
Ho: 0.257 0.770 0.257
Ho: 0.743 0.230 0.743
Ho: 0.743 0.743 0.230
Ho: 0.763 0.763 0.763
Ho: 0.770 0.257 0.257
Te: 0.000 0.000 0.000
Te: 0.000 0.500 0.500
Te: 0.500 0.000 0.500
Te: 0.500 0.500 0.000
Pt: 0.000 0.000 0.500
Pt: 0.000 0.500 0.000
Pt: 0.500 0.000 0.000
Au: 0.500 0.500 0.500